Density functional theory data (PBE) for a geometry-optimized BCI structure.

## Properties
calculated volume	248.6	Å³ per cell
total magnetic moment	0.000	μB/cell
uncorrected formation energy	0.281	eV/atom
mass density	4.0	g/cm³
calculated total energy	-5.54	eV/atom

CIF file:
```
data_BCI
_chemical_formula_sum 'B4 C4 I4'
_cell_length_a 9.265
_cell_length_b 9.265
_cell_length_c 5.499
_cell_angle_alpha 90.00
_cell_angle_beta 90.00
_cell_angle_gamma 148.22
_space_group_name_H-M_alt 'P 1'
_space_group_IT_number 1
_space_group_name_Hall 'P 1'
loop_
_atom_site_label
_atom_site_fract_x
_atom_site_fract_y
_atom_site_fract_z
_atom_site_occupancy
B1 0.200 0.300 0.250 1
B2 0.300 0.200 0.750 1
B3 0.700 0.800 0.250 1
B4 0.800 0.700 0.750 1
C1 0.019 0.981 0.892 1
C2 0.481 0.519 0.392 1
C3 0.519 0.481 0.608 1
C4 0.981 0.019 0.108 1
I1 0.136 0.864 0.498 1
I2 0.364 0.636 0.998 1
I3 0.636 0.364 0.002 1
I4 0.864 0.136 0.502 1
```



Density functional theory data (PBE) for a geometry-optimized InHRu3 structure.

## Properties
calculated volume	64.2	Å³ per cell
total magnetic moment	1.471	μB/cell
mass density	10.8	g/cm³
calculated total energy	-6.55	eV/atom

CIF file:
```
data_InHRu3
_chemical_formula_sum 'In1 H1 Ru3'
_cell_length_a 4.004
_cell_length_b 4.004
_cell_length_c 4.004
_cell_angle_alpha 90.00
_cell_angle_beta 90.00
_cell_angle_gamma 90.00
_space_group_name_H-M_alt 'P 1'
_space_group_IT_number 1
_space_group_name_Hall 'P 1'
loop_
_atom_site_label
_atom_site_fract_x
_atom_site_fract_y
_atom_site_fract_z
_atom_site_occupancy
In1 0.000 0.000 0.000 1
H1 0.500 0.500 0.500 1
Ru1 0.000 0.500 0.500 1
Ru2 0.500 0.000 0.500 1
Ru3 0.500 0.500 0.000 1
```



Density functional theory data (PBE) for a geometry-optimized PrInI structure.

## Properties
calculated volume	245.5	Å³ per cell
total magnetic moment	0.000	μB/cell
uncorrected formation energy	-0.744	eV/atom
mass density	5.2	g/cm³
calculated total energy	-3.77	eV/atom

CIF file:
```
data_PrInI
_chemical_formula_sum 'Pr2 In2 I2'
_cell_length_a 11.682
_cell_length_b 11.682
_cell_length_c 4.478
_cell_angle_alpha 90.00
_cell_angle_beta 90.00
_cell_angle_gamma 156.31
_space_group_name_H-M_alt 'P 1'
_space_group_IT_number 1
_space_group_name_Hall 'P 1'
loop_
_atom_site_label
_atom_site_fract_x
_atom_site_fract_y
_atom_site_fract_z
_atom_site_occupancy
Pr1 0.077 0.923 0.750 1
Pr2 0.923 0.077 0.250 1
In1 0.462 0.538 0.750 1
In2 0.538 0.462 0.250 1
I1 0.176 0.824 0.250 1
I2 0.824 0.176 0.750 1
```



Density functional theory data (PBE) for a geometry-optimized La3SnO6 structure.

## Properties
calculated volume	334.7	Å³ per cell
total magnetic moment	0.000	μB/cell
uncorrected formation energy	-2.911	eV/atom
mass density	6.3	g/cm³
calculated total energy	-7.76	eV/atom

CIF file:
```
data_La3SnO6
_chemical_formula_sum 'La6 Sn2 O12'
_cell_length_a 7.614
_cell_length_b 7.614
_cell_length_c 5.911
_cell_angle_alpha 90.00
_cell_angle_beta 90.00
_cell_angle_gamma 102.40
_space_group_name_H-M_alt 'P 1'
_space_group_IT_number 1
_space_group_name_Hall 'P 1'
loop_
_atom_site_label
_atom_site_fract_x
_atom_site_fract_y
_atom_site_fract_z
_atom_site_occupancy
La1 0.103 0.897 0.500 1
La2 0.192 0.410 0.547 1
La3 0.410 0.192 0.047 1
La4 0.590 0.808 0.547 1
La5 0.808 0.590 0.047 1
La6 0.897 0.103 0.000 1
Sn1 0.336 0.664 0.061 1
Sn2 0.664 0.336 0.561 1
O1 0.092 0.601 0.238 1
O2 0.148 0.171 0.274 1
O3 0.171 0.148 0.774 1
O4 0.274 0.726 0.718 1
O5 0.399 0.908 0.238 1
O6 0.480 0.520 0.303 1
O7 0.520 0.480 0.803 1
O8 0.601 0.092 0.738 1
O9 0.726 0.274 0.218 1
O10 0.829 0.852 0.274 1
O11 0.852 0.829 0.774 1
O12 0.908 0.399 0.738 1
```



Density functional theory data (PBE) for a geometry-optimized LiBi2B2 structure.

## Properties
calculated volume	90.1	Å³ per cell
formation energy from the elements	0.61	eV/atom
total magnetic moment	0.000	μB/cell
mass density	8.2	g/cm³
calculated total energy	-4.00	eV/atom

CIF file:
```
data_LiBi2B2
_chemical_formula_sum 'Li1 Bi2 B2'
_cell_length_a 4.948
_cell_length_b 4.948
_cell_length_c 4.948
_cell_angle_alpha 116.06
_cell_angle_beta 116.06
_cell_angle_gamma 96.97
_space_group_name_H-M_alt 'P 1'
_space_group_IT_number 1
_space_group_name_Hall 'P 1'
loop_
_atom_site_label
_atom_site_fract_x
_atom_site_fract_y
_atom_site_fract_z
_atom_site_occupancy
Li1 0.000 0.000 0.000 1
Bi1 0.250 0.750 0.500 1
Bi2 0.750 0.250 0.500 1
B1 0.374 0.374 0.000 1
B2 0.626 0.626 0.000 1
```



Density functional theory data (PBE) for a geometry-optimized Tl2ZnSb structure.

## Properties
calculated volume	108.7	Å³ per cell
total magnetic moment	0.000	μB/cell
uncorrected formation energy	0.155	eV/atom
mass density	9.1	g/cm³
calculated total energy	-2.38	eV/atom

CIF file:
```
data_Tl2ZnSb
_chemical_formula_sum 'Tl2 Zn1 Sb1'
_cell_length_a 6.201
_cell_length_b 6.201
_cell_length_c 6.201
_cell_angle_alpha 137.22
_cell_angle_beta 137.22
_cell_angle_gamma 62.10
_space_group_name_H-M_alt 'P 1'
_space_group_IT_number 1
_space_group_name_Hall 'P 1'
loop_
_atom_site_label
_atom_site_fract_x
_atom_site_fract_y
_atom_site_fract_z
_atom_site_occupancy
Tl1 0.250 0.750 0.500 1
Tl2 0.750 0.250 0.500 1
Zn1 0.000 0.000 0.000 1
Sb1 0.500 0.500 0.000 1
```



Density functional theory data (PBE) for a geometry-optimized Ge2TePd2 structure.

## Properties
calculated volume	190.2	Å³ per cell
total magnetic moment	0.000	μB/cell
uncorrected formation energy	-0.030	eV/atom
mass density	8.5	g/cm³
calculated total energy	-4.58	eV/atom

CIF file:
```
data_Ge2TePd2
_chemical_formula_sum 'Ge4 Te2 Pd4'
_cell_length_a 7.972
_cell_length_b 7.972
_cell_length_c 2.992
_cell_angle_alpha 90.00
_cell_angle_beta 90.00
_cell_angle_gamma 90.00
_space_group_name_H-M_alt 'P 1'
_space_group_IT_number 1
_space_group_name_Hall 'P 1'
loop_
_atom_site_label
_atom_site_fract_x
_atom_site_fract_y
_atom_site_fract_z
_atom_site_occupancy
Ge1 0.155 0.345 0.000 1
Ge2 0.345 0.845 0.000 1
Ge3 0.655 0.155 0.000 1
Ge4 0.845 0.655 0.000 1
Te1 0.000 0.000 0.000 1
Te2 0.500 0.500 0.000 1
Pd1 0.128 0.628 0.500 1
Pd2 0.372 0.128 0.500 1
Pd3 0.628 0.872 0.500 1
Pd4 0.872 0.372 0.500 1
```



Density functional theory data (PBE) for a geometry-optimized BaScTa4 structure.

## Properties
calculated volume	135.1	Å³ per cell
formation energy from the elements	0.65	eV/atom
total magnetic moment	0.000	μB/cell
mass density	11.1	g/cm³
calculated total energy	-8.62	eV/atom

CIF file:
```
data_BaScTa4
_chemical_formula_sum 'Ba1 Sc1 Ta4'
_cell_length_a 5.759
_cell_length_b 5.759
_cell_length_c 5.759
_cell_angle_alpha 60.00
_cell_angle_beta 60.00
_cell_angle_gamma 60.00
_space_group_name_H-M_alt 'P 1'
_space_group_IT_number 1
_space_group_name_Hall 'P 1'
loop_
_atom_site_label
_atom_site_fract_x
_atom_site_fract_y
_atom_site_fract_z
_atom_site_occupancy
Ba1 0.000 0.000 0.000 1
Sc1 0.750 0.750 0.750 1
Ta1 0.377 0.377 0.377 1
Ta2 0.377 0.377 0.870 1
Ta3 0.377 0.870 0.377 1
Ta4 0.870 0.377 0.377 1
```



Density functional theory data (PBE) for a geometry-optimized MgSc2ZnHg4 structure.

## Properties
calculated volume	164.2	Å³ per cell
formation energy from the elements	-0.31	eV/atom
total magnetic moment	0.000	μB/cell
mass density	9.9	g/cm³
calculated total energy	-2.40	eV/atom

CIF file:
```
data_MgSc2ZnHg4
_chemical_formula_sum 'Mg1 Sc2 Zn1 Hg4'
_cell_length_a 8.473
_cell_length_b 8.473
_cell_length_c 8.473
_cell_angle_alpha 33.40
_cell_angle_beta 33.40
_cell_angle_gamma 33.40
_space_group_name_H-M_alt 'P 1'
_space_group_IT_number 1
_space_group_name_Hall 'P 1'
loop_
_atom_site_label
_atom_site_fract_x
_atom_site_fract_y
_atom_site_fract_z
_atom_site_occupancy
Mg1 0.000 0.000 0.000 1
Sc1 0.248 0.248 0.248 1
Sc2 0.752 0.752 0.752 1
Zn1 0.500 0.500 0.500 1
Hg1 0.124 0.124 0.124 1
Hg2 0.374 0.374 0.374 1
Hg3 0.626 0.626 0.626 1
Hg4 0.876 0.876 0.876 1
```



Density functional theory data (PBE) for a geometry-optimized ReRhI2O structure.

## Properties
calculated volume	118.5	Å³ per cell
total magnetic moment	4.467	μB/cell
uncorrected formation energy	0.937	eV/atom
mass density	7.8	g/cm³
calculated total energy	-4.63	eV/atom

CIF file:
```
data_ReRhI2O
_chemical_formula_sum 'Re1 Rh1 I2 O1'
_cell_length_a 5.656
_cell_length_b 5.656
_cell_length_c 3.704
_cell_angle_alpha 90.00
_cell_angle_beta 90.00
_cell_angle_gamma 90.00
_space_group_name_H-M_alt 'P 1'
_space_group_IT_number 1
_space_group_name_Hall 'P 1'
loop_
_atom_site_label
_atom_site_fract_x
_atom_site_fract_y
_atom_site_fract_z
_atom_site_occupancy
Re1 0.000 0.000 0.000 1
Rh1 0.500 0.500 0.500 1
I1 0.000 0.500 0.500 1
I2 0.500 0.000 0.500 1
O1 0.500 0.500 0.000 1
```